Crystalline NaFeP2O7 at its relaxed geometry. Source: Alexandria, functional PBE+U.

Summary:
* final energy: -6.88 eV per atom
* size of the total moment: 9.960 μB/cell

Unit cell a=4.902 b=8.235 c=7.157 alpha=90.00 beta=106.89 gamma=90.00
Space group P2_1 (No. 4)
Unique sites:
Na1 0.219 0.000 0.238 x2
Fe1 0.221 0.421 0.236 x2
P1 0.230 0.157 0.615 x2
P2 0.384 0.725 0.993 x2
O1 0.034 0.614 0.324 x2
O2 0.157 0.262 0.431 x2
O3 0.157 0.858 0.950 x2
O4 0.265 0.554 0.001 x2
O5 0.405 0.007 0.592 x2
O6 0.419 0.231 0.138 x2
O7 0.431 0.273 0.784 x2